An optimized crystal structure of ReRh7, computed with PBE.

Properties
Calculated formation energy = -0.044 eV per atom
Magnetic moment = 0.0 μB per formula unit
Energy relative to the lowest polymorph listed for this composition = 0.14 eV per formula unit

Cell: 8.1667 8.1667 8.1667 Å, 152.74 152.77 38.91°
Fractional positions:
Re  0.0000  0.0000  0.0000
Rh  0.7459  0.7459  0.0000
Rh  0.2541  0.2541  0.0000
Rh  0.8777  0.3777  0.5000
Rh  0.3778  0.8778  0.5000
Rh  0.6222  0.1222  0.5000
Rh  0.5000  0.5000  0.0000
Rh  0.1223  0.6223  0.5000